The following is a DFT calculation (PBE-GGA) of Tl3Sn2Pb7 after structural relaxation.

E_form = 0.032 eV per atom
E_tot = -40.68 eV per cell
magnetization = 0.00 μB per formula unit

abc: 3.430 6.326 17.835
angles: 74.59 90.00 90.00
Fractional coordinates of all 12 atoms:
Pb 0.500 0.953 0.834
Pb 0.000 0.000 0.000
Pb 0.500 0.742 0.508
Pb 0.000 0.547 0.171
Pb 0.500 0.047 0.166
Sn 0.500 0.621 0.324
Tl 0.500 0.500 0.000
Tl 0.000 0.098 0.340
Pb 0.500 0.258 0.492
Tl 0.000 0.902 0.660
Sn 0.500 0.379 0.676
Pb 0.000 0.453 0.829

=====

The following is a DFT calculation (PBE-GGA) of Tl4Sn2Pb5 after structural relaxation.

E_form = 0.030 eV per atom
E_tot = -35.68 eV per cell
magnetization = 0.00 μB per formula unit
ΔE to the lowest computed polymorph = 0 meV/atom

abc: 3.359 8.730 11.599
angles: 94.08 90.00 90.00
Fractional coordinates of all 11 atoms:
Tl 0.500 0.696 0.553
Pb 0.000 0.500 0.000
Tl 0.500 0.845 0.099
Sn 0.000 0.054 0.630
Tl 0.500 0.155 0.901
Sn 0.000 0.946 0.370
Pb 0.000 0.419 0.713
Pb 0.000 0.799 0.823
Tl 0.500 0.304 0.447
Pb 0.000 0.581 0.287
Pb 0.000 0.201 0.177